The following is a DFT calculation (PBE-GGA) of a relaxed structure of MgZn2Si.

Results
* uncorrected formation energy: 0.31 eV per formula unit
* spin magnetization: 0.000 μB/atom
* Fermi-level density of states: 0.499 states/eV/atom

Unit cell a=3.9573 b=4.0420 c=4.0699 alpha=90.00 beta=90.00 gamma=90.00
Closest atoms and distances in Å follow each position.
Space group Pmmm (No. 47)
Symmetry-distinct sites (fractional):
Mg1 0.0000 0.0000 0.0000 (multiplicity 1)  4 Si 2.83, 8 Zn 2.84-2.87
Zn1 0.0000 0.5000 0.5000 (multiplicity 1)  4 Zn 2.83, 4 Si 2.84, 4 Mg 2.87
Zn2 0.5000 0.0000 0.5000 (multiplicity 1)  4 Zn 2.83, 4 Mg 2.84, 4 Si 2.87
Si1 0.5000 0.5000 0.0000 (multiplicity 1)  4 Mg 2.83, 8 Zn 2.84-2.87


The following is a DFT calculation (PBE-GGA) of a relaxed structure of BAs2SBr.

Results
* uncorrected formation energy: 4.75 eV per formula unit
* spin magnetization: 0.000 μB/atom
* Fermi-level density of states: 0.712 states/eV/atom

Unit cell a=4.5967 b=4.5967 c=4.3387 alpha=90.00 beta=90.00 gamma=90.00
Closest atoms and distances in Å follow each position.
Space group P4/mmm (No. 123)
Symmetry-distinct sites (fractional):
B1 0.0000 0.0000 0.0000 (multiplicity 1)  2 Br 2.17, 4 As 2.30
As1 0.0000 0.5000 0.0000 (multiplicity 2)  2 B 2.30
S1 0.5000 0.5000 0.5000 (multiplicity 1)  8 As 3.16, 4 Br 3.25
Br1 0.0000 0.0000 0.5000 (multiplicity 1)  2 B 2.17


The following is a DFT calculation (PBE-GGA) of a relaxed structure of Ac2La3Ho4.

Results
* calculated formation energy: 0.116 eV/atom
* spin magnetization: 0.000 μB/atom
* Fermi-level density of states: 1.487 states/eV/atom

Unit cell a=7.3105 b=15.9547 c=5.7746 alpha=90.00 beta=90.00 gamma=90.00
Closest atoms and distances in Å follow each position.
Space group Pnnm (No. 58)
Symmetry-distinct sites (fractional):
Ac1 0.1643 0.0948 0.0000 (multiplicity 4)  5 Ho 3.47-3.84, 2 La 3.67, 1 Ac 3.86
La1 0.0000 0.5000 0.0000 (multiplicity 2)  6 Ho 3.37-3.63
La2 0.1041 0.8336 0.5000 (multiplicity 4)  7 Ho 3.52-3.80, 2 Ac 3.67, 1 La 3.93
Ho1 0.0920 0.7069 0.0000 (multiplicity 4)  4 La 3.37-3.62, 3 Ho 3.37-3.59, 1 Ac 3.68
Ho2 0.1350 0.3773 0.5000 (multiplicity 4)  3 Ho 3.37-3.59, 2 Ac 3.47-3.77, 4 La 3.53-3.63